Record 1
## Nb3InS (PBEsol)

Data for crystalline Nb3InS at its relaxed geometry.

- Raw formation energy: -17 meV per atom
- E above lowest polymorph: 0.000 eV per atom
- Space group: No. 221

```
Nb3InS
1.0
4.570 0.000 0.000
0.000 4.570 0.000
0.000 0.000 4.570
Nb In S
3 1 1
Direct
0.000 0.000 0.500
0.500 0.000 0.000
0.000 0.500 0.000
0.500 0.500 0.500
0.000 0.000 0.000
```


Record 2
## Nb2InSiS (PBEsol)

Data for crystalline Nb2InSiS at its relaxed geometry.

- Raw formation energy: 617 meV per atom
- Space group: No. 123

```
Nb2InSiS
1.0
4.552 0.000 0.000
0.000 4.552 0.000
0.000 0.000 4.894
Nb Si S In
2 1 1 1
Direct
0.000 0.500 0.000
0.500 0.000 0.000
0.500 0.500 0.500
0.000 0.000 0.000
0.000 0.000 0.500
```


Record 3
## Nb6InSe8 (PBEsol)

Data for crystalline Nb6InSe8 at its relaxed geometry.

- Raw formation energy: -845 meV per atom
- Space group: No. 174

```
Nb6InSe8
1.0
3.450 0.000 0.000
0.000 10.007 0.000
0.000 -5.003 8.666
Se Nb In
8 6 1
Direct
0.000 0.337 0.061
0.500 0.280 0.340
0.500 0.667 0.333
0.500 0.060 0.720
0.000 0.724 0.663
0.000 0.333 0.667
0.000 0.939 0.276
0.500 0.660 0.940
0.000 0.892 0.511
0.500 0.108 0.486
0.000 0.619 0.108
0.500 0.514 0.622
0.000 0.489 0.381
0.500 0.378 0.892
0.500 0.000 0.000
```


Record 4
## Nb3InSn (PBEsol)

Data for crystalline Nb3InSn at its relaxed geometry.

- DFT formation energy: 716.9 kJ/mol of formula units
- Space group: No. 221

```
Nb3InSn
1.0
4.988 0.000 0.000
0.000 4.988 0.000
0.000 0.000 4.988
In Sn Nb
1 1 3
Direct
0.500 0.500 0.500
0.000 0.000 0.000
0.000 0.000 0.500
0.500 0.000 0.000
0.000 0.500 0.000
```


Record 5
## Nb12InSn3 (PBEsol)

Data for crystalline Nb12InSn3 at its relaxed geometry.

- DFT formation energy: -249.3 kJ/mol of formula units
- Space group: No. 47

```
Nb12InSn3
1.0
-0.336 1.748 -4.960
-1.465 -4.806 -1.595
-10.094 2.552 1.583
Nb Sn In
12 3 1
Direct
0.249 0.000 0.500
0.500 0.752 0.250
0.000 0.500 0.875
0.751 0.000 0.500
0.000 0.500 0.374
0.500 0.248 0.750
0.500 0.752 0.750
0.000 0.500 0.626
0.500 0.248 0.250
0.751 0.000 0.000
0.000 0.500 0.125
0.249 0.000 0.000
0.000 0.000 0.750
0.000 0.000 0.250
0.500 0.500 0.500
0.500 0.500 0.000
```


Record 6
## NbInSn3 (PBEsol)

Data for crystalline NbInSn3 at its relaxed geometry.

- DFT formation energy: 638.9 kJ/mol of formula units
- Space group: No. 221

```
NbInSn3
1.0
5.381 0.000 0.000
0.000 5.381 0.000
0.000 0.000 5.381
In Nb Sn
1 1 3
Direct
0.000 0.000 0.000
0.500 0.500 0.500
0.000 0.500 0.000
0.000 0.000 0.500
0.500 0.000 0.000
```


Record 7
## Sr2NbIn2 (PBEsol)

Data for crystalline Sr2NbIn2 at its relaxed geometry.

- DFT formation energy: 280.4 kJ/mol of formula units
- Space group: No. 139

```
Sr2NbIn2
1.0
4.104 0.000 0.000
0.000 4.104 0.000
-2.052 -2.052 9.758
In Sr Nb
2 2 1
Direct
0.250 0.750 0.500
0.750 0.250 0.500
0.598 0.598 0.196
0.402 0.402 0.804
0.000 0.000 0.000
```


Record 8
## NbInTc3 (PBEsol)

Data for crystalline NbInTc3 at its relaxed geometry.

- DFT formation energy: 822.6 kJ/mol of formula units
- Space group: No. 221

```
NbInTc3
1.0
-0.293 -0.152 4.669
2.941 -3.640 0.066
3.629 2.938 0.324
Tc Nb In
3 1 1
Direct
0.500 0.000 0.000
0.000 0.500 0.000
0.000 0.000 0.500
0.000 0.000 0.000
0.500 0.500 0.500
```


Record 9
## TiNbIn2Te (PBEsol)

Data for crystalline TiNbIn2Te at its relaxed geometry.

- Raw formation energy: 906 meV per atom
- Space group: No. 123

```
TiNbIn2Te
1.0
-4.034 2.829 1.137
0.076 -1.825 4.811
3.102 3.855 1.413
Ti In Nb Te
1 2 1 1
Direct
0.000 0.000 0.000
0.000 0.500 0.000
0.000 0.000 0.500
0.500 0.500 0.500
0.500 0.000 0.000
```


Record 10
## NbTlIn2 (PBEsol)

Data for crystalline NbTlIn2 at its relaxed geometry.

- DFT formation energy: 219.8 kJ/mol of formula units
- Space group: No. 225

```
NbTlIn2
1.0
-0.213 3.139 -3.949
-1.696 -1.661 -4.457
-4.473 1.565 -1.742
In Nb Tl
2 1 1
Direct
0.250 0.250 0.250
0.750 0.750 0.750
0.000 0.000 0.000
0.500 0.500 0.500
```


Record 11
## NbZn3In (PBEsol)

Data for crystalline NbZn3In at its relaxed geometry.

- DFT formation energy: 612.4 kJ/mol of formula units
- Space group: No. 221

```
NbZn3In
1.0
-2.893 -3.044 2.186
2.230 0.821 4.095
-3.012 3.532 0.932
Zn In Nb
3 1 1
Direct
0.000 0.500 0.000
0.500 0.000 0.000
0.000 0.000 0.500
0.000 0.000 0.000
0.500 0.500 0.500
```


Record 12
## Nd3In (PBEsol)

Data for crystalline Nd3In at its relaxed geometry.

- DFT formation energy: -122.9 kJ/mol of formula units
- Space group: No. 221

```
Nd3In
1.0
-1.637 3.500 -2.988
-3.309 -3.099 -1.817
-3.198 1.416 3.410
In Nd
1 3
Direct
0.000 0.000 0.000
0.500 0.500 0.000
0.500 0.000 0.500
0.000 0.500 0.500
```


Record 13
## Nd3In5 (PBEsol)

Data for crystalline Nd3In5 at its relaxed geometry.

- DFT formation energy: -443.6 kJ/mol of formula units
- Space group: No. 63

```
Nd3In5
1.0
-1.038 -4.031 4.954
3.110 -3.820 -4.196
9.066 2.797 4.175
Nd In
6 10
Direct
0.204 0.796 0.500
0.796 0.204 0.500
0.796 0.204 0.000
0.627 0.627 0.750
0.204 0.796 0.000
0.373 0.373 0.250
0.499 0.925 0.250
0.010 0.010 0.750
0.307 0.307 0.548
0.075 0.501 0.750
0.990 0.990 0.250
0.307 0.307 0.952
0.925 0.499 0.250
0.693 0.693 0.048
0.693 0.693 0.452
0.501 0.075 0.750
```


Record 14
## Nd3In (PBEsol)

Data for crystalline Nd3In at its relaxed geometry.

- DFT formation energy: -115.7 kJ/mol of formula units
- Space group: No. 194

```
Nd3In
1.0
5.490 0.000 0.000
0.000 7.028 0.000
0.000 -3.514 6.087
Nd In
6 2
Direct
0.250 0.176 0.824
0.750 0.352 0.176
0.750 0.824 0.176
0.750 0.824 0.648
0.250 0.648 0.824
0.250 0.176 0.352
0.750 0.333 0.667
0.250 0.667 0.333
```


Record 15
## Nd11In9Ni4 (PBEsol)

Data for crystalline Nd11In9Ni4 at its relaxed geometry.

- DFT formation energy: -1191.7 kJ/mol of formula units
- Space group: No. 65

```
Nd11In9Ni4
1.0
3.710 0.000 0.000
0.000 13.148 0.020
0.000 -5.055 12.137
Ni Nd In
4 11 9
Direct
0.500 0.552 0.754
0.500 0.246 0.448
0.500 0.448 0.246
0.500 0.754 0.552
0.000 0.923 0.584
0.000 0.375 0.625
0.000 0.416 0.077
0.000 0.077 0.416
0.000 0.162 0.838
0.000 0.313 0.313
0.000 0.687 0.687
0.000 0.000 0.000
0.000 0.838 0.162
0.000 0.584 0.923
0.000 0.625 0.375
0.500 0.632 0.163
0.500 0.081 0.220
0.500 0.368 0.837
0.500 0.780 0.919
0.500 0.500 0.500
0.500 0.919 0.780
0.500 0.163 0.632
0.500 0.220 0.081
0.500 0.837 0.368
```


Record 16
## Nd12InNi6 (PBEsol)

Data for crystalline Nd12InNi6 at its relaxed geometry.

- DFT formation energy: -484.2 kJ/mol of formula units
- Space group: No. 204

```
Nd12InNi6
1.0
-4.902 6.528 2.521
1.694 -5.039 6.689
7.318 3.012 -3.222
Nd Ni In
12 6 1
Direct
0.814 0.306 0.120
0.306 0.120 0.814
0.694 0.509 0.814
0.880 0.186 0.694
0.120 0.814 0.306
0.186 0.306 0.491
0.694 0.880 0.186
0.186 0.694 0.880
0.509 0.814 0.694
0.491 0.186 0.306
0.306 0.491 0.186
0.814 0.694 0.509
0.378 0.500 0.878
0.500 0.878 0.378
0.500 0.122 0.622
0.622 0.500 0.122
0.878 0.378 0.500
0.122 0.622 0.500
0.000 0.000 0.000
```


Record 17
## NdIn2Ni (PBEsol)

Data for crystalline NdIn2Ni at its relaxed geometry.

- DFT formation energy: -183.9 kJ/mol of formula units
- Space group: No. 63

```
NdIn2Ni
1.0
-1.152 -3.838 1.709
3.167 -0.573 -4.705
6.074 -0.003 4.089
In Nd Ni
4 2 2
Direct
0.354 0.708 0.450
0.646 0.292 0.950
0.354 0.708 0.050
0.646 0.292 0.550
0.067 0.134 0.250
0.933 0.866 0.750
0.787 0.573 0.250
0.213 0.427 0.750
```


Record 18
## NdInO3 (PBEsol)

Data for crystalline NdInO3 at its relaxed geometry.

- Raw formation energy: -2505 meV per atom
- Space group: No. 62

```
NdInO3
1.0
-0.910 1.479 -5.336
2.802 -4.891 -1.833
-7.057 -4.072 0.075
O Nd In
12 4 4
Direct
0.308 0.695 0.934
0.308 0.695 0.566
0.873 0.554 0.750
0.127 0.446 0.250
0.192 0.195 0.934
0.192 0.195 0.566
0.808 0.805 0.434
0.373 0.946 0.250
0.692 0.305 0.066
0.808 0.805 0.066
0.692 0.305 0.434
0.627 0.054 0.750
0.521 0.564 0.250
0.021 0.936 0.750
0.479 0.436 0.750
0.979 0.064 0.250
0.000 0.500 0.500
0.500 0.000 0.500
0.000 0.500 0.000
0.500 0.000 0.000
```


Record 19
## NdInPd (PBEsol)

Data for crystalline NdInPd at its relaxed geometry.

- DFT formation energy: -233.0 kJ/mol of formula units
- Space group: No. 189

```
NdInPd
1.0
3.952 0.000 0.000
0.000 7.665 0.000
0.000 -3.833 6.638
Nd Pd In
3 3 3
Direct
0.000 0.589 0.000
0.000 0.000 0.589
0.000 0.411 0.411
0.500 0.667 0.333
0.000 0.000 0.000
0.500 0.333 0.667
0.500 0.747 0.747
0.500 0.000 0.253
0.500 0.253 0.000
```


Record 20
## NdIn2Pd (PBEsol)

Data for crystalline NdIn2Pd at its relaxed geometry.

- DFT formation energy: -270.3 kJ/mol of formula units
- Space group: No. 107

```
NdIn2Pd
1.0
-7.479 3.747 -3.713
-0.291 -0.130 -10.825
-8.224 -6.855 -1.631
Pd Nd In
10 10 20
Direct
0.117 0.500 0.500
0.247 0.782 0.782
0.696 0.680 0.000
0.376 0.000 0.320
0.376 0.320 0.000
0.696 0.000 0.680
0.029 0.218 0.782
0.617 0.500 0.500
0.812 0.218 0.218
0.029 0.782 0.218
0.077 0.000 0.595
0.388 0.719 0.281
0.669 0.719 0.719
0.995 0.000 0.000
0.465 0.000 0.000
0.672 0.000 0.405
0.388 0.281 0.719
0.672 0.405 0.000
0.108 0.281 0.281
0.077 0.595 0.000
0.984 0.493 0.790
0.720 0.164 0.836
0.482 0.383 0.383
0.556 0.164 0.164
0.267 0.507 0.210
0.720 0.836 0.164
0.774 0.493 0.210
0.354 0.000 0.735
0.984 0.790 0.493
0.247 0.617 0.617
0.267 0.210 0.507
0.354 0.735 0.000
0.865 0.383 0.617
0.774 0.210 0.493
0.865 0.617 0.383
0.885 0.836 0.836
0.477 0.790 0.507
0.477 0.507 0.790
0.089 0.265 0.000
0.089 0.000 0.265
```


Record 21
## PmNdIn2 (PBEsol)

Data for crystalline PmNdIn2 at its relaxed geometry.

- DFT formation energy: -207.7 kJ/mol of formula units
- Space group: No. 225

```
PmNdIn2
1.0
5.364 0.000 0.000
2.682 4.645 0.000
2.682 1.548 4.380
In Pm Nd
2 1 1
Direct
0.750 0.750 0.750
0.250 0.250 0.250
0.500 0.500 0.500
0.000 0.000 0.000
```


Record 22
## PrNdIn2 (PBEsol)

Data for crystalline PrNdIn2 at its relaxed geometry.

- DFT formation energy: -206.3 kJ/mol of formula units
- Space group: No. 225

```
PrNdIn2
1.0
-5.122 1.346 1.076
-2.028 -0.820 4.941
-1.069 4.210 3.215
Pr In Nd
1 2 1
Direct
0.000 0.000 0.000
0.250 0.250 0.250
0.750 0.750 0.750
0.500 0.500 0.500
```